Compound: Sr5Rh
Source: the Alexandria database
Functional: SCAN
Structure: single point on PBEsol structure

Unit cell a=13.7324 b=3.9019 c=9.9380 alpha=90.00 beta=113.39 gamma=90.00
Sites, in units of the cell vectors:
1 Sr 0.0000 0.0000 0.0000
2 Sr 0.1137 0.5000 0.3879
3 Sr 0.1675 0.5000 0.7717
4 Sr 0.3325 0.0000 0.2283
5 Sr 0.3863 0.0000 0.6121
6 Sr 0.5000 0.5000 0.0000
7 Sr 0.6137 0.0000 0.3879
8 Sr 0.6675 0.0000 0.7717
9 Sr 0.8325 0.5000 0.2283
10 Sr 0.8863 0.5000 0.6121
11 Rh 0.0000 0.0000 0.5000
12 Rh 0.5000 0.5000 0.5000

Calculated values
- DOS(E_F): 5.05 states/eV/f.u.
- Electronic total energy: -24.23 eV per atom

---

Compound: Sr4Rh
Source: the Alexandria database
Functional: SCAN
Structure: single point on PBEsol structure

Unit cell a=10.1068 b=10.1068 c=3.8069 alpha=90.00 beta=90.00 gamma=90.00
Sites, in units of the cell vectors:
1 Sr 0.0582 0.7611 0.0000
2 Sr 0.2389 0.0582 0.0000
3 Sr 0.2611 0.4418 0.5000
4 Sr 0.4418 0.7389 0.5000
5 Sr 0.5582 0.2611 0.5000
6 Sr 0.7389 0.5582 0.5000
7 Sr 0.7611 0.9418 0.0000
8 Sr 0.9418 0.2389 0.0000
9 Rh 0.0000 0.0000 0.5000
10 Rh 0.5000 0.5000 0.0000

Calculated values
- DOS(E_F): 3.50 states/eV/f.u.
- Electronic total energy: -24.66 eV per atom

---

Compound: Sr2Rh
Source: the Alexandria database
Functional: SCAN
Structure: single point on PBEsol structure

Unit cell a=6.7935 b=6.9580 c=4.3518 alpha=90.00 beta=90.00 gamma=90.00
Sites, in units of the cell vectors:
1 Sr 0.2297 0.1699 0.0000
2 Sr 0.2703 0.6699 0.5000
3 Sr 0.7297 0.3301 0.5000
4 Sr 0.7703 0.8301 0.0000
5 Rh 0.0000 0.0000 0.5000
6 Rh 0.5000 0.5000 0.0000

Calculated values
- DOS(E_F): 2.22 states/eV/f.u.
- Electronic total energy: -26.25 eV per atom

---

Compound: SrTaRh
Source: the Alexandria database
Functional: SCAN
Structure: single point on PBEsol structure

Unit cell a=6.4056 b=6.4056 c=6.4056 alpha=90.00 beta=90.00 gamma=90.00
Sites, in units of the cell vectors:
1 Sr 0.0000 0.0000 0.0000
2 Sr 0.0000 0.5000 0.5000
3 Sr 0.5000 0.0000 0.5000
4 Sr 0.5000 0.5000 0.0000
5 Ta 0.2500 0.2500 0.2500
6 Ta 0.2500 0.7500 0.7500
7 Ta 0.7500 0.2500 0.7500
8 Ta 0.7500 0.7500 0.2500
9 Rh 0.2500 0.2500 0.7500
10 Rh 0.2500 0.7500 0.2500
11 Rh 0.7500 0.2500 0.2500
12 Rh 0.7500 0.7500 0.7500

Calculated values
- DOS(E_F): 2.30 states/eV/f.u.
- Electronic total energy: -38.90 eV per atom